i) Density functional theory data (meta-GGA SCAN) for a crystal of Tc2PbBr relaxed with PBEsol.

extended XYZ file:
```
16
Lattice="6.6324 0.0000 0.0000 0.0000 6.6324 0.0000 0.0000 0.0000 6.6324" Properties=species:S:1:pos:R:3 pbc="T T T"
Tc 0.0000 0.0000 0.0000
Tc 0.0000 3.3162 3.3162
Tc 1.6581 1.6581 1.6581
Tc 1.6581 4.9743 4.9743
Tc 3.3162 0.0000 3.3162
Tc 3.3162 3.3162 0.0000
Tc 4.9743 1.6581 4.9743
Tc 4.9743 4.9743 1.6581
Pb 0.0000 0.0000 3.3162
Pb 0.0000 3.3162 0.0000
Pb 3.3162 0.0000 0.0000
Pb 3.3162 3.3162 3.3162
Br 1.6581 1.6581 4.9743
Br 1.6581 4.9743 1.6581
Br 4.9743 1.6581 1.6581
Br 4.9743 4.9743 4.9743
```

Fermi-level density of states	12.6	states/eV/cell
magnetization	11.883	μB per cell

***

ii) Density functional theory data (meta-GGA SCAN) for a crystal of Tc2PbBr relaxed with PBEsol.

extended XYZ file:
```
4
Lattice="3.0181 0.0000 0.0000 0.0000 4.5560 0.0000 0.0000 0.0000 5.2583" Properties=species:S:1:pos:R:3 pbc="T T T"
Tc 0.0000 0.0000 0.0000
Tc 1.5090 0.0000 2.6291
Pb 0.0000 2.2780 2.6291
Br 1.5090 2.2780 0.0000
```

Fermi-level density of states	3.0	states/eV/cell
magnetization	2.329	μB per cell

***

iii) Density functional theory data (meta-GGA SCAN) for a crystal of Tc2PbBr relaxed with PBEsol.

extended XYZ file:
```
8
Lattice="3.0755 0.0000 0.0000 0.0000 5.4539 0.0000 0.0000 0.0000 8.6612" Properties=species:S:1:pos:R:3 pbc="T T T"
Tc 0.0000 0.0000 2.0832
Tc 0.0000 0.0000 6.5780
Tc 1.5377 2.7269 2.0832
Tc 1.5377 2.7269 6.5780
Pb 0.0000 2.7269 4.3306
Pb 1.5377 0.0000 4.3306
Br 0.0000 2.7269 0.0000
Br 1.5377 0.0000 0.0000
```

Fermi-level density of states	6.9	states/eV/cell
magnetization	5.310	μB per cell

***

iv) Density functional theory data (meta-GGA SCAN) for a crystal of Tc2PbBr relaxed with PBEsol.

extended XYZ file:
```
4
Lattice="3.0131 0.0000 0.0000 0.0000 3.0131 0.0000 0.0000 0.0000 8.6834" Properties=species:S:1:pos:R:3 pbc="T T T"
Tc 0.0000 0.0000 0.0000
Tc 1.5065 1.5065 1.4387
Pb 1.5065 1.5065 6.4748
Br 0.0000 0.0000 3.2766
```

Fermi-level density of states	3.5	states/eV/cell
magnetization	0.000	μB per cell

***

Most stable structure, least stable structure: iv), i).

***

i) Density functional theory data (meta-GGA SCAN) for a crystal of Te2PbBr relaxed with PBEsol.

extended XYZ file:
```
12
Lattice="3.3713 0.0000 0.0000 -1.6857 2.9196 0.0000 0.0000 0.0000 33.6910" Properties=species:S:1:pos:R:3 pbc="T T T"
Te 0.0000 0.0000 3.0895
Te 0.0000 0.0000 30.6015
Te 0.0000 1.9464 19.3712
Te 0.0000 1.9464 25.5502
Te 1.6857 0.9732 8.1408
Te 1.6857 0.9732 14.3198
Pb 0.0000 0.0000 0.0000
Pb 0.0000 1.9464 22.4607
Pb 1.6857 0.9732 11.2303
Br 0.0000 0.0000 16.8455
Br 0.0000 1.9464 5.6152
Br 1.6857 0.9732 28.0759
```

Fermi-level density of states	6.4	states/eV/cell
magnetization	0.000	μB per cell

***

ii) Density functional theory data (meta-GGA SCAN) for a crystal of Te2PbBr relaxed with PBEsol.

extended XYZ file:
```
8
Lattice="3.8816 0.0000 0.0000 0.0000 4.8303 0.0000 0.0000 0.0000 12.4656" Properties=species:S:1:pos:R:3 pbc="T T T"
Te 0.0000 0.0000 2.9054
Te 0.0000 0.0000 9.5602
Te 1.9408 2.4151 3.3274
Te 1.9408 2.4151 9.1381
Pb 0.0000 2.4151 6.2328
Pb 1.9408 0.0000 0.0000
Br 0.0000 2.4151 0.0000
Br 1.9408 0.0000 6.2328
```

Fermi-level density of states	2.6	states/eV/cell
magnetization	0.000	μB per cell

***

Most stable structure, least stable structure: ii), i).

***

i) Density functional theory data (meta-GGA SCAN) for a crystal of Te2PbBr relaxed with PBEsol.

extended XYZ file:
```
16
Lattice="9.7778 0.0000 0.0000 0.0000 9.7778 0.0000 0.0000 0.0000 5.6613" Properties=species:S:1:pos:R:3 pbc="T T T"
Te 1.9779 2.4444 0.7077
Te 2.4444 6.8668 2.1230
Te 2.4444 7.7999 4.9536
Te 2.9110 2.4444 3.5383
Te 6.8668 7.3333 3.5383
Te 7.3333 1.9779 4.9536
Te 7.3333 2.9110 2.1230
Te 7.7999 7.3333 0.7077
Pb 0.0000 0.0000 0.0000
Pb 0.0000 4.8889 1.4153
Pb 4.8889 0.0000 4.2460
Pb 4.8889 4.8889 2.8306
Br 0.0000 0.0000 2.8306
Br 0.0000 4.8889 4.2460
Br 4.8889 0.0000 1.4153
Br 4.8889 4.8889 0.0000
```

Fermi-level density of states	8.9	states/eV/cell
magnetization	0.000	μB per cell

***

ii) Density functional theory data (meta-GGA SCAN) for a crystal of Te2PbBr relaxed with PBEsol.

extended XYZ file:
```
4
Lattice="4.2705 0.0000 0.0000 0.0000 4.3600 0.0000 0.0000 0.0000 7.8656" Properties=species:S:1:pos:R:3 pbc="T T T"
Te 0.0000 0.0000 0.0000
Te 2.1352 2.1800 0.2628
Pb 0.0000 0.0000 4.8740
Br 2.1352 2.1800 4.3837
```

Fermi-level density of states	1.4	states/eV/cell
magnetization	0.000	μB per cell

***

Most stable structure, least stable structure: ii), i).

***

i) Density functional theory data (meta-GGA SCAN) for a crystal of PbWBr2 relaxed with PBEsol.

extended XYZ file:
```
8
Lattice="7.1576 0.0000 0.0000 0.0000 7.2109 0.0000 0.0000 0.0000 3.2598" Properties=species:S:1:pos:R:3 pbc="T T T"
Pb 0.0000 0.0000 0.0000
Pb 3.5788 3.6055 0.0000
W 0.0000 3.6055 0.0000
W 3.5788 0.0000 0.0000
Br 1.7894 1.8027 1.6299
Br 1.7894 5.4082 1.6299
Br 5.3682 1.8027 1.6299
Br 5.3682 5.4082 1.6299
```

Fermi-level density of states	4.7	states/eV/cell
magnetization	3.676	μB per cell

***

ii) Density functional theory data (meta-GGA SCAN) for a crystal of PbWBr2 relaxed with PBEsol.

extended XYZ file:
```
4
Lattice="3.2608 0.0000 0.0000 0.0000 3.2608 0.0000 0.0000 0.0000 8.3399" Properties=species:S:1:pos:R:3 pbc="T T T"
Pb 0.0000 0.0000 0.0000
W 1.6304 1.6304 2.1936
Br 0.0000 0.0000 3.4646
Br 1.6304 1.6304 6.2086
```

Fermi-level density of states	2.3	states/eV/cell
magnetization	0.000	μB per cell

***

Most stable structure, least stable structure: ii), i).

***

i) Density functional theory data (meta-GGA SCAN) for a crystal of ZnPbBr2 relaxed with PBEsol.

extended XYZ file:
```
8
Lattice="6.6376 0.0000 0.0000 0.0000 8.2906 0.0000 -3.2822 0.0000 4.1436" Properties=species:S:1:pos:R:3 pbc="T T T"
Zn 0.0000 0.0000 0.0000
Zn 3.3188 4.1453 0.0000
Pb 0.0000 4.1453 0.0000
Pb 3.3188 0.0000 0.0000
Br 0.0183 2.0727 2.0718
Br 0.0183 6.2180 2.0718
Br 3.3371 2.0727 2.0718
Br 3.3371 6.2180 2.0718
```

Fermi-level density of states	1.6	states/eV/cell
magnetization	0.000	μB per cell

***

ii) Density functional theory data (meta-GGA SCAN) for a crystal of ZnPbBr2 relaxed with PBEsol.

extended XYZ file:
```
4
Lattice="4.9097 0.0000 0.0000 0.0000 3.7901 0.0000 -2.0229 0.0000 5.6893" Properties=species:S:1:pos:R:3 pbc="T T T"
Zn 0.0000 0.0000 0.0000
Pb 1.9325 1.8950 3.6778
Br -0.4918 0.0000 2.4866
Br 1.8541 1.8950 0.1972
```

Fermi-level density of states	0.3	states/eV/cell
magnetization	0.000	μB per cell

***

Most stable structure, least stable structure: ii), i).

***

i) Density functional theory data (meta-GGA SCAN) for a crystal of ZnPb2Br relaxed with PBEsol.

extended XYZ file:
```
4
Lattice="3.5157 0.0000 0.0000 0.0000 4.7754 0.0000 -1.7219 0.0000 6.2210" Properties=species:S:1:pos:R:3 pbc="T T T"
Zn 0.0000 0.0000 0.0000
Pb 0.9937 2.3877 1.4206
Pb 0.8001 2.3877 4.8004
Br -0.8609 0.0000 3.1105
```

Fermi-level density of states	1.9	states/eV/cell
magnetization	0.000	μB per cell

***

ii) Density functional theory data (meta-GGA SCAN) for a crystal of ZnPb2Br relaxed with PBEsol.

extended XYZ file:
```
4
Lattice="5.4414 0.0000 0.0000 0.0000 5.4414 0.0000 0.0000 0.0000 3.4163" Properties=species:S:1:pos:R:3 pbc="T T T"
Zn 0.0000 0.0000 0.0000
Pb 0.0000 2.7207 1.7081
Pb 2.7207 0.0000 1.7081
Br 2.7207 2.7207 0.0000
```

Fermi-level density of states	1.2	states/eV/cell
magnetization	0.000	μB per cell

***

iii) Density functional theory data (meta-GGA SCAN) for a crystal of ZnPb2Br relaxed with PBEsol.

extended XYZ file:
```
4
Lattice="3.5093 0.0000 0.0000 0.0000 5.0845 0.0000 0.0000 0.0000 5.9184" Properties=species:S:1:pos:R:3 pbc="T T T"
Zn 0.0000 0.0000 0.0000
Pb 0.0000 2.5422 2.9592
Pb 1.7546 2.5422 0.0000
Br 1.7546 0.0000 2.9592
```

Fermi-level density of states	2.0	states/eV/cell
magnetization	0.000	μB per cell

***

Most stable structure, least stable structure: iii), ii).